[1]
The following is a DFT calculation (PBE) of a geometry-optimized Pr3Sm3Tl2In structure.

The structure in POSCAR format:
```
Pr3Sm3Tl2In
1.0
9.230 0.000 0.000
-4.615 7.993 0.000
0.000 0.000 3.839
Pr Sm Tl In
3 3 2 1
direct
0.000 0.713 0.000 Pr
0.287 0.287 0.000 Pr
0.713 0.000 0.000 Pr
0.000 0.384 0.500 Sm
0.384 0.000 0.500 Sm
0.616 0.616 0.500 Sm
0.333 0.667 0.000 Tl
0.667 0.333 0.000 Tl
0.000 0.000 0.500 In
```

Output
As for the formation energy: -0.27 eV/atom. Its space group is P-62m.



[2]
The following is a DFT calculation (PBE) of a geometry-optimized Er4MgCd3 structure.

The structure in POSCAR format:
```
Er4MgCd3
1.0
3.488 0.000 0.000
0.000 4.936 0.000
0.000 0.000 12.175
Er Mg Cd
4 1 3
direct
0.000 0.000 0.000 Er
0.000 0.500 0.328 Er
0.500 0.000 0.495 Er
0.500 0.500 0.833 Er
0.000 0.000 0.730 Mg
0.000 0.500 0.594 Cd
0.500 0.000 0.235 Cd
0.500 0.500 0.094 Cd
```

Output
As for the formation energy: -0.19 eV/atom. Its space group is Pmm2.



[3]
The following is a DFT calculation (PBE) of a geometry-optimized Li2YCu2 structure.

The structure in POSCAR format:
```
Li2YCu2
1.0
7.424 0.000 0.000
0.000 7.424 0.000
0.000 0.000 3.022
Li Y Cu
4 2 4
direct
0.114 0.386 0.000 Li
0.386 0.886 0.000 Li
0.614 0.114 0.000 Li
0.886 0.614 0.000 Li
0.000 0.000 0.000 Y
0.500 0.500 0.000 Y
0.185 0.685 0.500 Cu
0.315 0.185 0.500 Cu
0.685 0.815 0.500 Cu
0.815 0.315 0.500 Cu
```

Output
As for the formation energy: 0.01 eV/atom. Its space group is P4/mbm.



[4]
The following is a DFT calculation (PBE) of a geometry-optimized NaFe2Ag structure.

The structure in POSCAR format:
```
NaFe2Ag
1.0
6.369 0.000 0.000
0.000 6.369 0.000
0.000 0.000 6.369
Na Fe Ag
4 8 4
direct
0.000 0.000 0.000 Na
0.000 0.500 0.500 Na
0.500 0.000 0.500 Na
0.500 0.500 0.000 Na
0.250 0.250 0.250 Fe
0.250 0.250 0.750 Fe
0.250 0.750 0.250 Fe
0.250 0.750 0.750 Fe
0.750 0.250 0.250 Fe
0.750 0.250 0.750 Fe
0.750 0.750 0.250 Fe
0.750 0.750 0.750 Fe
0.000 0.000 0.500 Ag
0.000 0.500 0.000 Ag
0.500 0.000 0.000 Ag
0.500 0.500 0.500 Ag
```

Output
As for the formation energy: 0.80 eV/atom. Its space group is Fm-3m.



[5]
The following is a DFT calculation (PBE) of a geometry-optimized CeErLuMg structure.

The structure in POSCAR format:
```
CeErLuMg
1.0
7.701 0.000 0.000
0.000 7.701 0.000
0.000 0.000 7.701
Ce Er Lu Mg
4 4 4 4
direct
0.000 0.000 0.000 Ce
0.000 0.500 0.500 Ce
0.500 0.000 0.500 Ce
0.500 0.500 0.000 Ce
0.000 0.000 0.500 Er
0.000 0.500 0.000 Er
0.500 0.000 0.000 Er
0.500 0.500 0.500 Er
0.250 0.250 0.250 Lu
0.250 0.750 0.750 Lu
0.750 0.250 0.750 Lu
0.750 0.750 0.250 Lu
0.250 0.250 0.750 Mg
0.250 0.750 0.250 Mg
0.750 0.250 0.250 Mg
0.750 0.750 0.750 Mg
```

Output
As for the formation energy: 0.07 eV/atom. Its space group is F-43m.



[6]
The following is a DFT calculation (PBE) of a geometry-optimized BaCuRu5O11 structure.

The structure in POSCAR format:
```
BaCuRu5O11
1.0
5.924 0.000 0.000
-2.962 5.131 0.000
0.000 0.000 14.024
Ba Cu Ru O
2 2 10 22
direct
0.333 0.667 0.250 Ba
0.667 0.333 0.750 Ba
0.333 0.667 0.750 Cu
0.667 0.333 0.250 Cu
0.000 0.000 0.154 Ru
0.000 0.000 0.346 Ru
0.000 0.000 0.654 Ru
0.000 0.000 0.846 Ru
0.000 0.500 0.000 Ru
0.000 0.500 0.500 Ru
0.500 0.000 0.000 Ru
0.500 0.000 0.500 Ru
0.500 0.500 0.000 Ru
0.500 0.500 0.500 Ru
0.148 0.296 0.750 O
0.148 0.852 0.750 O
0.169 0.338 0.080 O
0.169 0.338 0.420 O
0.169 0.831 0.080 O
0.169 0.831 0.420 O
0.296 0.148 0.250 O
0.333 0.667 0.582 O
0.333 0.667 0.918 O
0.338 0.169 0.580 O
0.338 0.169 0.920 O
0.662 0.831 0.080 O
0.662 0.831 0.420 O
0.667 0.333 0.082 O
0.667 0.333 0.418 O
0.704 0.852 0.750 O
0.831 0.169 0.580 O
0.831 0.169 0.920 O
0.831 0.662 0.580 O
0.831 0.662 0.920 O
0.852 0.148 0.250 O
0.852 0.704 0.250 O
```

Output
The value obtained for the formation energy without anion corrections is -1094.9 meV per atom. Its space group is P6_3/mmc.